(1)
A plane-wave DFT calculation with PBE was carried out for an optimized crystal structure of KDy3Se4.

Values from the calculation:
SG	P6_3/mmc, No. 194
total DFT energy (no corrections)	-5.36	eV per atom
ΔE_f (raw)	-1.750	eV/atom

Cell lengths 4.1393, 4.1393, 28.6371 Å; angles 90.00, 90.00, 120.00 degrees
Fractional coordinates of all 16 atoms:
K  0.3333  0.6667  0.2500
K  0.6667  0.3333  0.7500
Dy  0.0000  0.0000  0.0000
Dy  0.0000  0.0000  0.5000
Dy  0.3333  0.6667  0.6148
Dy  0.3333  0.6667  0.8852
Dy  0.6667  0.3333  0.1148
Dy  0.6667  0.3333  0.3852
Se  0.0000  0.0000  0.1702
Se  0.0000  0.0000  0.3298
Se  0.0000  0.0000  0.6702
Se  0.0000  0.0000  0.8298
Se  0.3333  0.6667  0.0573
Se  0.3333  0.6667  0.4427
Se  0.6667  0.3333  0.5573
Se  0.6667  0.3333  0.9427

---

(2)
A plane-wave DFT calculation with PBE was carried out for an optimized crystal structure of TeIrBr.

Values from the calculation:
SG	Fmm2, No. 42
total DFT energy (no corrections)	-4.29	eV per atom
ΔE_f (raw)	0.273	eV/atom

Cell lengths 3.7846, 7.1533, 14.2515 Å; angles 90.00, 90.00, 90.00 degrees
Fractional coordinates of all 12 atoms:
Te  0.0000  0.0000  0.0000
Te  0.0000  0.5000  0.5000
Te  0.5000  0.0000  0.5000
Te  0.5000  0.5000  0.0000
Ir  0.0000  0.0000  0.3864
Ir  0.0000  0.5000  0.8864
Ir  0.5000  0.0000  0.8864
Ir  0.5000  0.5000  0.3864
Br  0.0000  0.0000  0.7632
Br  0.0000  0.5000  0.2632
Br  0.5000  0.0000  0.2632
Br  0.5000  0.5000  0.7632

---

(3)
A plane-wave DFT calculation with PBE was carried out for an optimized crystal structure of CsNaPm2Br8.

Values from the calculation:
SG	P2/m, No. 10
total DFT energy (no corrections)	-3.86	eV per atom
ΔE_f (raw)	-1.776	eV/atom

Cell lengths 7.2782, 9.0073, 7.6143 Å; angles 90.00, 95.62, 90.00 degrees
Fractional coordinates of all 12 atoms:
Cs  0.0000  0.0000  0.0000
Na  0.0000  0.5000  0.0000
Pm  0.5000  0.2579  0.5000
Pm  0.5000  0.7421  0.5000
Br  0.2704  0.2845  0.1795
Br  0.2704  0.7155  0.1795
Br  0.2808  0.5000  0.6341
Br  0.2898  0.0000  0.6190
Br  0.7102  0.0000  0.3810
Br  0.7192  0.5000  0.3659
Br  0.7296  0.2845  0.8205
Br  0.7296  0.7155  0.8205

---

(4)
A plane-wave DFT calculation with PBE was carried out for an optimized crystal structure of V12Cr6Ga.

Values from the calculation:
SG	R-3, No. 148
total DFT energy (no corrections)	-8.81	eV per atom
E_form	150	meV per atom

Cell lengths 6.3279, 6.3279, 6.3279 Å; angles 89.24, 89.24, 89.24 degrees
Fractional coordinates of all 19 atoms:
V  0.0215  0.3134  0.9140
V  0.0860  0.9785  0.6866
V  0.1182  0.3546  0.4436
V  0.3134  0.9140  0.0215
V  0.3546  0.4436  0.1182
V  0.4436  0.1182  0.3546
V  0.5564  0.8818  0.6454
V  0.6454  0.5564  0.8818
V  0.6866  0.0860  0.9785
V  0.8818  0.6454  0.5564
V  0.9140  0.0215  0.3134
V  0.9785  0.6866  0.0860
Cr  0.2346  0.6207  0.7610
Cr  0.2390  0.7654  0.3793
Cr  0.3793  0.2390  0.7654
Cr  0.6207  0.7610  0.2346
Cr  0.7610  0.2346  0.6207
Cr  0.7654  0.3793  0.2390
Ga  0.5000  0.5000  0.5000

---

(5)
A plane-wave DFT calculation with PBE was carried out for an optimized crystal structure of Tm3H12Pd5.

Values from the calculation:
SG	Ia-3d, No. 230
total DFT energy (no corrections)	-4.32	eV per atom

Cell lengths 10.1285, 10.1285, 10.1285 Å; angles 109.47, 109.47, 109.47 degrees
Fractional coordinates of all 80 atoms:
Tm  0.1250  0.2500  0.3750
Tm  0.1250  0.3750  0.7500
Tm  0.2500  0.3750  0.1250
Tm  0.2500  0.8750  0.6250
Tm  0.3750  0.1250  0.2500
Tm  0.3750  0.7500  0.1250
Tm  0.6250  0.2500  0.8750
Tm  0.6250  0.8750  0.7500
Tm  0.7500  0.1250  0.3750
Tm  0.7500  0.6250  0.8750
Tm  0.8750  0.6250  0.2500
Tm  0.8750  0.7500  0.6250
H  0.0320  0.2053  0.1223
H  0.0320  0.3267  0.9097
H  0.0830  0.7053  0.6733
H  0.0830  0.8777  0.4097
H  0.0903  0.6223  0.4170
H  0.0903  0.9680  0.6733
H  0.1223  0.0320  0.2053
H  0.1223  0.5903  0.9170
H  0.1733  0.2053  0.5830
H  0.1733  0.4680  0.5903
H  0.2053  0.1223  0.0320
H  0.2053  0.5830  0.1733
H  0.2947  0.3267  0.9170
H  0.2947  0.4680  0.3777
H  0.3267  0.9097  0.0320
H  0.3267  0.9170  0.2947
H  0.3777  0.2947  0.4680
H  0.3777  0.5830  0.9097
H  0.4097  0.0830  0.8777
H  0.4097  0.8267  0.5320
H  0.4170  0.0903  0.6223
H  0.4170  0.8267  0.7947
H  0.4680  0.3777  0.2947
H  0.4680  0.5903  0.1733
H  0.5320  0.4097  0.8267
H  0.5320  0.6223  0.7053
H  0.5830  0.1733  0.2053
H  0.5830  0.9097  0.3777
H  0.5903  0.1733  0.4680
H  0.5903  0.9170  0.1223
H  0.6223  0.4170  0.0903
H  0.6223  0.7053  0.5320
H  0.6733  0.0830  0.7053
H  0.6733  0.0903  0.9680
H  0.7053  0.5320  0.6223
H  0.7053  0.6733  0.0830
H  0.7947  0.4170  0.8267
H  0.7947  0.8777  0.9680
H  0.8267  0.5320  0.4097
H  0.8267  0.7947  0.4170
H  0.8777  0.4097  0.0830
H  0.8777  0.9680  0.7947
H  0.9097  0.0320  0.3267
H  0.9097  0.3777  0.5830
H  0.9170  0.1223  0.5903
H  0.9170  0.2947  0.3267
H  0.9680  0.6733  0.0903
H  0.9680  0.7947  0.8777
Pd  0.0000  0.0000  0.0000
Pd  0.0000  0.0000  0.5000
Pd  0.0000  0.5000  0.0000
Pd  0.0000  0.5000  0.5000
Pd  0.1250  0.7500  0.8750
Pd  0.1250  0.8750  0.2500
Pd  0.2500  0.1250  0.8750
Pd  0.2500  0.6250  0.3750
Pd  0.3750  0.2500  0.6250
Pd  0.3750  0.6250  0.7500
Pd  0.5000  0.0000  0.0000
Pd  0.5000  0.0000  0.5000
Pd  0.5000  0.5000  0.0000
Pd  0.5000  0.5000  0.5000
Pd  0.6250  0.3750  0.2500
Pd  0.6250  0.7500  0.3750
Pd  0.7500  0.3750  0.6250
Pd  0.7500  0.8750  0.1250
Pd  0.8750  0.1250  0.7500
Pd  0.8750  0.2500  0.1250

---

(6)
A plane-wave DFT calculation with PBE was carried out for an optimized crystal structure of BaTb3As4O12.

Values from the calculation:
SG	R32, No. 155
total DFT energy (no corrections)	-6.66	eV per atom
ΔE_f (raw)	-1.969	eV/atom

Cell lengths 7.2573, 7.2573, 7.2573 Å; angles 104.47, 104.47, 104.47 degrees
Fractional coordinates of all 20 atoms:
Ba  0.0000  0.0000  0.0000
Tb  0.0000  0.5700  0.4300
Tb  0.4300  0.0000  0.5699
Tb  0.5699  0.4300  0.0000
As  0.0889  0.5000  0.9111
As  0.5000  0.5000  0.5000
As  0.5000  0.9111  0.0889
As  0.9111  0.0889  0.5000
O  0.0125  0.2531  0.3660
O  0.0667  0.9333  0.5000
O  0.2531  0.3660  0.0125
O  0.3315  0.6685  0.5000
O  0.3660  0.0125  0.2531
O  0.5000  0.0667  0.9333
O  0.5000  0.3315  0.6685
O  0.6340  0.7469  0.9875
O  0.6685  0.5000  0.3315
O  0.7469  0.9875  0.6340
O  0.9333  0.5000  0.0667
O  0.9875  0.6340  0.7469

---

Copy entry 2 word for word.
A plane-wave DFT calculation with PBE was carried out for an optimized crystal structure of TeIrBr.

Values from the calculation:
SG	Fmm2, No. 42
total DFT energy (no corrections)	-4.29	eV per atom
ΔE_f (raw)	0.273	eV/atom

Cell lengths 3.7846, 7.1533, 14.2515 Å; angles 90.00, 90.00, 90.00 degrees
Fractional coordinates of all 12 atoms:
Te  0.0000  0.0000  0.0000
Te  0.0000  0.5000  0.5000
Te  0.5000  0.0000  0.5000
Te  0.5000  0.5000  0.0000
Ir  0.0000  0.0000  0.3864
Ir  0.0000  0.5000  0.8864
Ir  0.5000  0.0000  0.8864
Ir  0.5000  0.5000  0.3864
Br  0.0000  0.0000  0.7632
Br  0.0000  0.5000  0.2632
Br  0.5000  0.0000  0.2632
Br  0.5000  0.5000  0.7632

---

> Which of these has the lowest total DFT energy (no corrections)?

V12Cr6Ga

---

> Which value of total DFT energy (no corrections) does entry 3 give?

-3.86 eV per atom